Entry 1:
Density functional theory data (PBE-GGA) for a geometry-optimized TmZrCdIr structure.

Results
Spin magnetization (μB per atom): 0.00

Cell: 4.8907 4.8907 4.8907 Å, 60.00 60.00 60.00°
Last column: nearest neighbours and their distance in Å.
Fractional coordinates of all 4 atoms:
Ir 0.2500 0.2500 0.2500  4 Zr 2.99, 4 Tm 2.99
Zr 0.0000 0.0000 0.0000  4 Cd 2.99, 4 Ir 2.99
Tm 0.5000 0.5000 0.5000  4 Ir 2.99, 4 Cd 2.99
Cd 0.7500 0.7500 0.7500  4 Zr 2.99, 4 Tm 2.99

---

Entry 2:
Density functional theory data (PBE-GGA) for a geometry-optimized VCd2Ir structure.

Results
Offset from the most stable computed form (meV per atom): 316
Spin magnetization (μB per atom): 0.69

Cell: 7.7498 7.7498 6.0826 Å, 50.43 50.43 90.00°
Last column: nearest neighbours and their distance in Å.
Fractional coordinates of all 8 atoms:
Ir 0.0000 0.0000 0.0000  2 V 2.64, 4 Cd 2.70
Ir 0.7500 0.2500 0.5000  2 V 2.64, 4 Cd 2.70
V 0.2500 0.7500 0.5000  2 Ir 2.64, 4 Cd 2.94
V 0.5000 0.5000 0.0000  2 Ir 2.64, 4 Cd 2.94
Cd 0.6469 0.1250 0.2500  2 Cd 2.66, 2 Ir 2.70, 2 V 2.94
Cd 0.8750 0.8969 0.7500  2 Cd 2.66, 2 Ir 2.70, 2 V 2.94
Cd 0.3750 0.3531 0.7500  2 Cd 2.66, 2 Ir 2.70, 2 V 2.94
Cd 0.1031 0.6250 0.2500  2 Cd 2.66, 2 Ir 2.70, 2 V 2.94

---

| no. | ΔH_f (0 K) (meV per atom) |
| --- | --- |
| 1 | -439 |
| 2 | 654 |